A plane-wave DFT calculation with PBE was carried out for TmGa2Ni after structural relaxation.

Lattice parameters (Å, degrees): 5.360 5.360 6.659 90.00 90.00 135.10
Fractional coordinates of all 8 atoms:
Tm: 0.073 0.927 0.750
Ga: 0.642 0.358 0.447
Ni: 0.790 0.210 0.750
Ni: 0.210 0.790 0.250
Ga: 0.358 0.642 0.947
Ga: 0.358 0.642 0.553
Tm: 0.927 0.073 0.250
Ga: 0.642 0.358 0.053

Calculated values
M_tot, μB per cell: 0.00
Space-group type: Cmcm, No. 63
Electronic total energy, eV per cell: -37.46